Record 1
## CsK2As2 (PBE)

Data for a relaxed structure of CsK2As2.

The structure in CIF format:
```
data_CsK2As2
_space_group_name_H-M_alt 'P 1'
_space_group_IT_number 1
_space_group_name_Hall 'P 1'
_cell_length_a 7.4685
_cell_length_b 7.4685
_cell_length_c 7.4685
_cell_angle_alpha 136.44
_cell_angle_beta 136.44
_cell_angle_gamma 63.29
loop_
_atom_site_label
_atom_site_type_symbol
_atom_site_fract_x
_atom_site_fract_y
_atom_site_fract_z
_atom_site_occupancy
Cs1 Cs 0.0000 0.0000 0.0000 1
K1 K 0.2500 0.7500 0.5000 1
K2 K 0.7500 0.2500 0.5000 1
As1 As 0.4052 0.4052 0.0000 1
As2 As 0.5948 0.5948 0.0000 1
```

## Properties
Calculated density   3.070 Mg/m³
ΔE to the lowest computed polymorph   0.029 eV/atom
SG   I4/mmm


Record 2
## Cs2K2As (PBE)

Data for a relaxed structure of Cs2K2As.

The structure in CIF format:
```
data_Cs2K2As
_space_group_name_H-M_alt 'P 1'
_space_group_IT_number 1
_space_group_name_Hall 'P 1'
_cell_length_a 8.8225
_cell_length_b 8.8225
_cell_length_c 6.9923
_cell_angle_alpha 90.00
_cell_angle_beta 90.00
_cell_angle_gamma 90.00
loop_
_atom_site_label
_atom_site_type_symbol
_atom_site_fract_x
_atom_site_fract_y
_atom_site_fract_z
_atom_site_occupancy
Cs1 Cs 0.2095 0.2905 0.0000 1
Cs2 Cs 0.2905 0.7905 0.0000 1
Cs3 Cs 0.7095 0.2095 0.0000 1
Cs4 Cs 0.7905 0.7095 0.0000 1
K1 K 0.1617 0.6617 0.5000 1
K2 K 0.3383 0.1617 0.5000 1
K3 K 0.6617 0.8383 0.5000 1
K4 K 0.8383 0.3383 0.5000 1
As1 As 0.0000 0.0000 0.5000 1
As2 As 0.5000 0.5000 0.5000 1
```

## Properties
Calculated density   2.556 Mg/m³
ΔE to the lowest computed polymorph   0.099 eV/atom
SG   P4/mbm


Record 3
## Cs3KAs (PBE)

Data for a relaxed structure of Cs3KAs.

The structure in CIF format:
```
data_Cs3KAs
_space_group_name_H-M_alt 'P 1'
_space_group_IT_number 1
_space_group_name_Hall 'P 1'
_cell_length_a 7.7477
_cell_length_b 7.7477
_cell_length_c 7.7477
_cell_angle_alpha 90.00
_cell_angle_beta 90.00
_cell_angle_gamma 90.00
loop_
_atom_site_label
_atom_site_type_symbol
_atom_site_fract_x
_atom_site_fract_y
_atom_site_fract_z
_atom_site_occupancy
Cs1 Cs 0.0000 0.0000 0.5000 1
Cs2 Cs 0.0000 0.5000 0.0000 1
Cs3 Cs 0.5000 0.0000 0.0000 1
K1 K 0.0000 0.0000 0.0000 1
As1 As 0.5000 0.5000 0.5000 1
```

## Properties
Calculated density   1.831 Mg/m³
ΔE to the lowest computed polymorph   0.632 eV/atom
SG   Pm-3m


Record 4
## CsK2As2 (PBE)

Data for a relaxed structure of CsK2As2.

The structure in CIF format:
```
data_CsK2As2
_space_group_name_H-M_alt 'P 1'
_space_group_IT_number 1
_space_group_name_Hall 'P 1'
_cell_length_a 8.9122
_cell_length_b 8.9122
_cell_length_c 4.9956
_cell_angle_alpha 90.00
_cell_angle_beta 90.00
_cell_angle_gamma 90.00
loop_
_atom_site_label
_atom_site_type_symbol
_atom_site_fract_x
_atom_site_fract_y
_atom_site_fract_z
_atom_site_occupancy
Cs1 Cs 0.0000 0.0000 0.0000 1
Cs2 Cs 0.5000 0.5000 0.0000 1
K1 K 0.1599 0.3401 0.5000 1
K2 K 0.3401 0.8401 0.5000 1
K3 K 0.6599 0.1599 0.5000 1
K4 K 0.8401 0.6599 0.5000 1
As1 As 0.0970 0.5970 0.0000 1
As2 As 0.4030 0.0970 0.0000 1
As3 As 0.5970 0.9030 0.0000 1
As4 As 0.9030 0.4030 0.0000 1
```

## Properties
Calculated density   3.021 Mg/m³
ΔE to the lowest computed polymorph   0.039 eV/atom
SG   P4/mbm


Record 5
## CsK3As (PBE)

Data for a relaxed structure of CsK3As.

The structure in CIF format:
```
data_CsK3As
_space_group_name_H-M_alt 'P 1'
_space_group_IT_number 1
_space_group_name_Hall 'P 1'
_cell_length_a 6.8991
_cell_length_b 6.8991
_cell_length_c 6.8991
_cell_angle_alpha 90.00
_cell_angle_beta 90.00
_cell_angle_gamma 90.00
loop_
_atom_site_label
_atom_site_type_symbol
_atom_site_fract_x
_atom_site_fract_y
_atom_site_fract_z
_atom_site_occupancy
Cs1 Cs 0.0000 0.0000 0.0000 1
K1 K 0.0000 0.0000 0.5000 1
K2 K 0.0000 0.5000 0.0000 1
K3 K 0.5000 0.0000 0.0000 1
As1 As 0.5000 0.5000 0.5000 1
```

## Properties
Calculated density   1.644 Mg/m³
ΔE to the lowest computed polymorph   0.915 eV/atom
SG   Pm-3m


Record 6
## CsKAs2 (PBE)

Data for a relaxed structure of CsKAs2.

The structure in CIF format:
```
data_CsKAs2
_space_group_name_H-M_alt 'P 1'
_space_group_IT_number 1
_space_group_name_Hall 'P 1'
_cell_length_a 4.1865
_cell_length_b 7.0368
_cell_length_c 7.0368
_cell_angle_alpha 45.61
_cell_angle_beta 90.00
_cell_angle_gamma 90.00
loop_
_atom_site_label
_atom_site_type_symbol
_atom_site_fract_x
_atom_site_fract_y
_atom_site_fract_z
_atom_site_occupancy
Cs1 Cs 0.0000 0.0000 0.0000 1
K1 K 0.5000 0.2677 0.2677 1
As1 As 0.0000 0.7098 0.7098 1
As2 As 0.5000 0.5962 0.5962 1
```

## Properties
Calculated density   3.608 Mg/m³
ΔE to the lowest computed polymorph   0.000 eV/atom
SG   Amm2


Record 7
## CsK2As2 (PBE)

Data for a relaxed structure of CsK2As2.

The structure in CIF format:
```
data_CsK2As2
_space_group_name_H-M_alt 'P 1'
_space_group_IT_number 1
_space_group_name_Hall 'P 1'
_cell_length_a 7.3695
_cell_length_b 7.3695
_cell_length_c 7.3695
_cell_angle_alpha 134.62
_cell_angle_beta 134.62
_cell_angle_gamma 66.12
loop_
_atom_site_label
_atom_site_type_symbol
_atom_site_fract_x
_atom_site_fract_y
_atom_site_fract_z
_atom_site_occupancy
Cs1 Cs 0.0000 0.0000 0.0000 1
K1 K 0.3639 0.3639 0.0000 1
K2 K 0.6361 0.6361 0.0000 1
As1 As 0.2500 0.7500 0.5000 1
As2 As 0.7500 0.2500 0.5000 1
```

## Properties
Calculated density   3.002 Mg/m³
ΔE to the lowest computed polymorph   0.386 eV/atom
SG   I4/mmm


Record 8
## CsK6As3 (PBE)

Data for a relaxed structure of CsK6As3.

The structure in CIF format:
```
data_CsK6As3
_space_group_name_H-M_alt 'P 1'
_space_group_IT_number 1
_space_group_name_Hall 'P 1'
_cell_length_a 10.4169
_cell_length_b 5.3672
_cell_length_c 14.7103
_cell_angle_alpha 90.00
_cell_angle_beta 95.93
_cell_angle_gamma 90.00
loop_
_atom_site_label
_atom_site_type_symbol
_atom_site_fract_x
_atom_site_fract_y
_atom_site_fract_z
_atom_site_occupancy
Cs1 Cs 0.0750 0.2500 0.2981 1
Cs2 Cs 0.9250 0.7500 0.7019 1
K1 K 0.0595 0.2500 0.9332 1
K2 K 0.2744 0.7500 0.4558 1
K3 K 0.3007 0.7500 0.7651 1
K4 K 0.3584 0.7500 0.2061 1
K5 K 0.3920 0.2500 0.5792 1
K6 K 0.4063 0.2500 0.0437 1
K7 K 0.5937 0.7500 0.9563 1
K8 K 0.6080 0.7500 0.4208 1
K9 K 0.6416 0.2500 0.7939 1
K10 K 0.6993 0.2500 0.2349 1
K11 K 0.7256 0.2500 0.5442 1
K12 K 0.9405 0.7500 0.0668 1
As1 As 0.0381 0.2500 0.5355 1
As2 As 0.2412 0.7500 0.9786 1
As3 As 0.4321 0.2500 0.3423 1
As4 As 0.5679 0.7500 0.6577 1
As5 As 0.7588 0.2500 0.0214 1
As6 As 0.9619 0.7500 0.4645 1
```

## Properties
Calculated density   2.404 Mg/m³
SG   P2_1/m


Record 9
## Cs2K5As2 (PBE)

Data for a relaxed structure of Cs2K5As2.

The structure in CIF format:
```
data_Cs2K5As2
_space_group_name_H-M_alt 'P 1'
_space_group_IT_number 1
_space_group_name_Hall 'P 1'
_cell_length_a 12.8675
_cell_length_b 12.8675
_cell_length_c 5.7744
_cell_angle_alpha 90.00
_cell_angle_beta 90.00
_cell_angle_gamma 150.60
loop_
_atom_site_label
_atom_site_type_symbol
_atom_site_fract_x
_atom_site_fract_y
_atom_site_fract_z
_atom_site_occupancy
Cs1 Cs 0.2193 0.7807 0.0000 1
Cs2 Cs 0.7807 0.2193 0.0000 1
K1 K 0.1092 0.8908 0.5000 1
K2 K 0.3992 0.6008 0.0000 1
K3 K 0.5000 0.5000 0.5000 1
K4 K 0.6008 0.3992 0.0000 1
K5 K 0.8908 0.1092 0.5000 1
As1 As 0.3462 0.6538 0.5000 1
As2 As 0.6538 0.3462 0.5000 1
```

## Properties
Calculated density   2.162 Mg/m³
SG   Cmmm


Record 10
## CsK4As4 (PBE)

Data for a relaxed structure of CsK4As4.

The structure in CIF format:
```
data_CsK4As4
_space_group_name_H-M_alt 'P 1'
_space_group_IT_number 1
_space_group_name_Hall 'P 1'
_cell_length_a 10.6894
_cell_length_b 10.6894
_cell_length_c 6.6219
_cell_angle_alpha 90.00
_cell_angle_beta 90.00
_cell_angle_gamma 90.00
loop_
_atom_site_label
_atom_site_type_symbol
_atom_site_fract_x
_atom_site_fract_y
_atom_site_fract_z
_atom_site_occupancy
Cs1 Cs 0.2500 0.2500 0.2500 1
Cs2 Cs 0.7500 0.7500 0.7500 1
K1 K 0.1027 0.6327 0.1078 1
K2 K 0.1327 0.8973 0.6078 1
K3 K 0.3673 0.6027 0.6078 1
K4 K 0.3973 0.8673 0.1078 1
K5 K 0.6027 0.1327 0.8922 1
K6 K 0.6327 0.3973 0.3922 1
K7 K 0.8673 0.1027 0.3922 1
K8 K 0.8973 0.3673 0.8922 1
As1 As 0.0499 0.5755 0.6033 1
As2 As 0.0755 0.9501 0.1033 1
As3 As 0.4245 0.5499 0.1033 1
As4 As 0.4501 0.9245 0.6033 1
As5 As 0.5499 0.0755 0.3967 1
As6 As 0.5755 0.4501 0.8967 1
As7 As 0.9245 0.0499 0.8967 1
As8 As 0.9501 0.4245 0.3967 1
```

## Properties
Calculated density   2.585 Mg/m³
SG   P4_2/n


Record 11
## CsK3As (PBE)

Data for a relaxed structure of CsK3As.

The structure in CIF format:
```
data_CsK3As
_space_group_name_H-M_alt 'P 1'
_space_group_IT_number 1
_space_group_name_Hall 'P 1'
_cell_length_a 6.6493
_cell_length_b 6.6493
_cell_length_c 6.6493
_cell_angle_alpha 90.00
_cell_angle_beta 90.00
_cell_angle_gamma 90.00
loop_
_atom_site_label
_atom_site_type_symbol
_atom_site_fract_x
_atom_site_fract_y
_atom_site_fract_z
_atom_site_occupancy
Cs1 Cs 0.0000 0.0000 0.0000 1
K1 K 0.0000 0.5000 0.5000 1
K2 K 0.5000 0.0000 0.5000 1
K3 K 0.5000 0.5000 0.0000 1
As1 As 0.5000 0.5000 0.5000 1
```

## Properties
Calculated density   1.836 Mg/m³
ΔE to the lowest computed polymorph   0.000 eV/atom
SG   Pm-3m


Record 12
## Cs3K4As (PBE)

Data for a relaxed structure of Cs3K4As.

The structure in CIF format:
```
data_Cs3K4As
_space_group_name_H-M_alt 'P 1'
_space_group_IT_number 1
_space_group_name_Hall 'P 1'
_cell_length_a 7.8288
_cell_length_b 15.9673
_cell_length_c 9.3885
_cell_angle_alpha 90.00
_cell_angle_beta 90.00
_cell_angle_gamma 90.00
loop_
_atom_site_label
_atom_site_type_symbol
_atom_site_fract_x
_atom_site_fract_y
_atom_site_fract_z
_atom_site_occupancy
Cs1 Cs 0.2500 0.0297 0.1833 1
Cs2 Cs 0.2500 0.4703 0.1833 1
Cs3 Cs 0.2500 0.7500 0.5709 1
Cs4 Cs 0.7500 0.2500 0.4291 1
Cs5 Cs 0.7500 0.5297 0.8167 1
Cs6 Cs 0.7500 0.9703 0.8167 1
K1 K 0.0066 0.2500 0.0106 1
K2 K 0.2500 0.1249 0.5918 1
K3 K 0.2500 0.3751 0.5918 1
K4 K 0.4934 0.2500 0.0106 1
K5 K 0.5066 0.7500 0.9894 1
K6 K 0.7500 0.6249 0.4082 1
K7 K 0.7500 0.8751 0.4082 1
K8 K 0.9934 0.7500 0.9894 1
As1 As 0.2500 0.2500 0.3050 1
As2 As 0.7500 0.7500 0.6950 1
```

## Properties
Calculated density   1.783 Mg/m³
SG   Pmmn


Per-record ΔE_f, meV per atom: -322.8, -78.2, 551.0, -312.8, 747.0, -406.4, 34.3, -266.3, -114.2, -307.8, -167.5, -104.6
Per-record magnetic moment, μB/f.u.: 1.00, 0.69, 1.00, 0.64, 0.00, 0.00, 0.00, 0.42, 0.00, 3.00, 0.00, 0.00
Per-record V, Å³ per atom: 39.05, 54.43, 93.01, 39.68, 65.68, 37.03, 39.93, 40.90, 52.15, 42.04, 58.80, 73.35